1.
A plane-wave DFT calculation with PBE-GGA was carried out for a geometry-optimized AcThTe structure.

abc: 4.0528 5.5265 5.5265
angles: 120.00 90.00 90.00
Atoms (fractional coordinates):
Th 0.1671 0.0000 0.0000
Ac 0.6672 0.6667 0.3333
Te 0.1657 0.3333 0.6667

## Properties
DOS(E_F) = 3.1 states/eV per cell
formation energy from raw total energies = -0.368 eV per atom
energy above the lowest structure with this stoichiometry = 0.919 eV/f.u.
space group = P3m1, No. 156
VASP energy = -15.77 eV per formula unit

2.
A plane-wave DFT calculation with PBE-GGA was carried out for a geometry-optimized Ac2ThTe4 structure.

abc: 4.4760 8.1795 15.3727
angles: 90.00 90.00 105.88
Atoms (fractional coordinates):
Th 0.6357 0.2714 0.7500
Th 0.3643 0.7286 0.2500
Te 0.0093 0.0186 0.2500
Te 0.5000 0.0000 0.0000
Te 0.9907 0.9814 0.7500
Te 0.2174 0.4349 0.6259
Te 0.7826 0.5651 0.3741
Te 0.5000 0.0000 0.5000
Te 0.7826 0.5651 0.1259
Te 0.2174 0.4349 0.8741
Ac 0.1334 0.2667 0.0768
Ac 0.8666 0.7333 0.5768
Ac 0.1334 0.2667 0.4232
Ac 0.8666 0.7333 0.9232

## Properties
DOS(E_F) = 8.3 states/eV per cell
formation energy from raw total energies = -1.308 eV per atom
space group = Cmcm, No. 63
VASP energy = -37.36 eV per formula unit

3.
A plane-wave DFT calculation with PBE-GGA was carried out for a geometry-optimized Ac6ThTe8 structure.

abc: 9.4040 9.4040 9.4040
angles: 60.00 60.00 60.00
Atoms (fractional coordinates):
Te 0.7546 0.2454 0.2454
Te 0.2454 0.2454 0.7546
Te 0.2454 0.7546 0.7546
Te 0.2454 0.7546 0.2454
Te 0.7546 0.7546 0.2454
Te 0.7546 0.2454 0.7546
Te 0.2500 0.2500 0.2500
Te 0.7500 0.7500 0.7500
Ac 0.0000 0.5000 0.0000
Ac 0.5000 0.0000 0.5000
Ac 0.5000 0.5000 0.0000
Ac 0.5000 0.0000 0.0000
Ac 0.0000 0.5000 0.5000
Ac 0.0000 0.0000 0.5000
Th 0.0000 0.0000 0.0000

## Properties
DOS(E_F) = 11.5 states/eV per cell
formation energy from raw total energies = -1.439 eV per atom
space group = Fm-3m, No. 225
VASP energy = -78.79 eV per formula unit